No. 1
Here is a relaxed TiCrBi2 crystal from Alexandria. Energies are from PBEsol.

a = 6.273 Å, b = 6.273 Å, c = 6.273 Å
α = 105.12°, β = 105.12°, γ = 118.58°
Last column: magnetic moment on the atom in μB.
Fractional positions:
Cr  0.000  0.000  0.000  3.52
Cr  0.250  0.750  0.500  3.52
Bi  0.884  0.875  0.509  -0.02
Bi  0.366  0.375  0.491  -0.02
Bi  0.125  0.634  0.009  -0.02
Bi  0.625  0.116  0.991  -0.02
Ti  0.500  0.500  0.000  -0.60
Ti  0.750  0.250  0.500  -0.60

N(E_F)	0.960	states/eV/atom
E	-50.1	eV/cell
crystal system	tetragonal

No. 2
Here is a relaxed TlCrBi3 crystal from Alexandria. Energies are from PBEsol.

a = 5.243 Å, b = 5.243 Å, c = 5.243 Å
α = 90.00°, β = 90.00°, γ = 90.00°
Last column: magnetic moment on the atom in μB.
Fractional positions:
Cr  0.000  0.000  0.000  2.14
Tl  0.500  0.500  0.500  0.01
Bi  0.000  0.500  0.000  -0.13
Bi  0.000  0.000  0.500  -0.13
Bi  0.500  0.000  0.000  -0.13

N(E_F)	0.678	states/eV/atom
E	-23.7	eV/cell
crystal system	cubic

No. 3
Here is a relaxed CrBi2W crystal from Alexandria. Energies are from PBEsol.

a = 4.834 Å, b = 4.834 Å, c = 4.834 Å
α = 60.00°, β = 60.00°, γ = 60.00°
Last column: magnetic moment on the atom in μB.
Fractional positions:
Cr  0.000  0.000  0.000  3.15
Bi  0.250  0.250  0.250  -0.07
Bi  0.750  0.750  0.750  -0.07
W  0.500  0.500  0.500  -0.34

N(E_F)	0.405	states/eV/atom
E	-29.1	eV/cell
crystal system	cubic

No. 4
Here is a relaxed YCrBi2 crystal from Alexandria. Energies are from PBEsol.

a = 5.228 Å, b = 5.228 Å, c = 5.228 Å
α = 60.00°, β = 60.00°, γ = 60.00°
Last column: magnetic moment on the atom in μB.
Fractional positions:
Y  0.500  0.500  0.500  -0.11
Cr  0.000  0.000  0.000  3.70
Bi  0.250  0.250  0.250  -0.18
Bi  0.750  0.750  0.750  -0.18

N(E_F)	0.868	states/eV/atom
E	-25.5	eV/cell
crystal system	cubic